Entry 1:
A plane-wave DFT calculation with GGA-PBE was carried out for a geometry-optimized K2SbTe structure.

Lattice parameters (Å, degrees): 4.296 4.296 10.007 90.00 90.00 90.00
Space group P4mm (No. 99)
Unique sites:
K 0.000 0.000 0.000 [1 per cell]
K 0.500 0.500 0.406 [1 per cell]
Sb 0.000 0.000 0.661 [1 per cell]
Te 0.500 0.500 0.746 [1 per cell]

Size of the total moment, μB per formula unit: 0.00
ΔE_f (raw), eV/atom: -0.280
Polymorph energy (0 for the lowest one), meV/atom: 262
Calculated total energy, eV/atom: -2.645

Entry 2:
A plane-wave DFT calculation with GGA-PBE was carried out for a geometry-optimized Sr2CaIr structure.

Lattice parameters (Å, degrees): 3.744 5.568 13.533 90.00 90.00 90.00
Space group Imm2 (No. 44)
Unique sites:
Sr 0.000 0.000 0.000 [2 per cell]
Sr 0.000 0.500 0.173 [2 per cell]
Ca 0.000 0.500 0.840 [2 per cell]
Ir 0.000 0.000 0.498 [2 per cell]

Size of the total moment, μB per formula unit: 0.00
ΔE_f, eV per atom: -0.069
Polymorph energy (0 for the lowest one), meV/atom: 157
Calculated total energy, eV/atom: -3.626

Entry 3:
A plane-wave DFT calculation with GGA-PBE was carried out for a geometry-optimized YBe6Au6 structure.

Lattice parameters (Å, degrees): 4.891 8.555 8.802 90.00 90.00 90.00
Space group Immm (No. 71)
Unique sites:
Y 0.000 0.000 0.000 [2 per cell]
Be 0.000 0.261 0.500 [4 per cell]
Be 0.250 0.250 0.250 [8 per cell]
Au 0.000 0.000 0.342 [4 per cell]
Au 0.000 0.333 0.000 [4 per cell]
Au 0.000 0.500 0.321 [4 per cell]

Size of the total moment, μB per formula unit: 0.00
ΔE_f, eV per atom: -0.283
Calculated total energy, eV/atom: -4.013

Entry 4:
A plane-wave DFT calculation with GGA-PBE was carried out for a geometry-optimized HgAu6 structure.

Lattice parameters (Å, degrees): 7.536 7.536 7.536 90.00 90.00 90.00
Space group Im-3m (No. 229)
Unique sites:
Hg 0.000 0.000 0.000 [2 per cell]
Au 0.000 0.250 0.500 [12 per cell]

Size of the total moment, μB per formula unit: 0.00
ΔE_f, eV per atom: 0.553
Polymorph energy (0 for the lowest one), meV/atom: 497
Calculated total energy, eV/atom: -2.299

Entry 5:
A plane-wave DFT calculation with GGA-PBE was carried out for a geometry-optimized PrPuInGe structure.

Lattice parameters (Å, degrees): 7.509 7.509 7.509 90.00 90.00 90.00
Space group F-43m (No. 216)
Unique sites:
Pr 0.000 0.000 0.000 [4 per cell]
Pu 0.000 0.000 0.500 [4 per cell]
In 0.250 0.250 0.750 [4 per cell]
Ge 0.250 0.250 0.250 [4 per cell]

Size of the total moment, μB per formula unit: 5.86
ΔE_f, eV per atom: -0.315
Calculated total energy, eV/atom: -6.931

Entry 6:
A plane-wave DFT calculation with GGA-PBE was carried out for a geometry-optimized Li2PaAlO6 structure.

Lattice parameters (Å, degrees): 5.2225 5.2225 14.0972 90.00 90.00 120.00
Space group R3 (No. 146, hexagonal axes)
Unique sites:
Li 0.0000 0.0000 0.0000 [3 per cell]
Li 0.0000 0.0000 0.4940 [3 per cell]
Pa 0.0000 0.0000 0.2124 [3 per cell]
Al 0.0000 0.0000 0.7110 [3 per cell]
O 0.0078 0.3759 0.4488 [9 per cell]
O 0.0523 0.6804 0.2914 [9 per cell]

Size of the total moment, μB per formula unit: 1.74
ΔE_f (raw), eV/atom: -2.410
Calculated total energy, eV/atom: -7.091

Entry 7:
A plane-wave DFT calculation with GGA-PBE was carried out for a geometry-optimized Pm4Ge2I3 structure.

Lattice parameters (Å, degrees): 15.427 13.753 5.974 90.00 94.08 90.00
Space group C2/c (No. 15)
Unique sites:
Pm 0.127 0.206 0.006 [8 per cell]
Pm 0.202 0.401 0.450 [8 per cell]
Ge 0.209 0.392 0.942 [8 per cell]
I 0.000 0.368 0.250 [4 per cell]
I 0.090 0.123 0.511 [8 per cell]

Size of the total moment, μB per formula unit: 0.00
ΔE_f (raw), eV/atom: -0.848
Polymorph energy (0 for the lowest one), meV/atom: 296
Calculated total energy, eV/atom: -4.503